Below is an optimized crystal structure of AcErTc, with properties calculated at the PBE-GGA level.

Cell lengths 4.939, 4.939, 4.939 Å; angles 60.00, 60.00, 60.00 degrees
Sites, in units of the cell vectors:
Ac 0.250 0.250 0.250
Er 0.000 0.000 0.000
Tc 0.750 0.750 0.750

Output
DFT formation energy: 0.961 eV/atom
final energy: -16.15 eV/f.u.

---

Below is an optimized crystal structure of AcErTe, with properties calculated at the PBE-GGA level.

Cell lengths 5.357, 5.357, 5.357 Å; angles 60.00, 60.00, 60.00 degrees
Sites, in units of the cell vectors:
Ac 0.250 0.250 0.250
Er 0.750 0.750 0.750
Te 0.000 0.000 0.000

Output
final energy: -13.04 eV/f.u.

---

Below is an optimized crystal structure of AcErTe, with properties calculated at the PBE-GGA level.

Cell lengths 5.577, 5.577, 5.577 Å; angles 60.00, 60.00, 60.00 degrees
Sites, in units of the cell vectors:
Ac 0.000 0.000 0.000
Er 0.250 0.250 0.250
Te 0.750 0.750 0.750

Output
final energy: -11.22 eV/f.u.

---

Below is an optimized crystal structure of AcErTm, with properties calculated at the PBE-GGA level.

Cell lengths 5.593, 5.593, 5.593 Å; angles 60.00, 60.00, 60.00 degrees
Sites, in units of the cell vectors:
Ac 0.250 0.250 0.250
Er 0.750 0.750 0.750
Tm 0.000 0.000 0.000

Output
DFT formation energy: 0.690 eV/atom
final energy: -11.08 eV/f.u.

---

Below is an optimized crystal structure of AcErTm, with properties calculated at the PBE-GGA level.

Cell lengths 5.614, 5.614, 5.614 Å; angles 60.00, 60.00, 60.00 degrees
Sites, in units of the cell vectors:
Ac 0.000 0.000 0.000
Er 0.250 0.250 0.250
Tm 0.750 0.750 0.750

Output
DFT formation energy: 0.862 eV/atom
final energy: -10.56 eV/f.u.

---

Below is an optimized crystal structure of AcErU, with properties calculated at the PBE-GGA level.

Cell lengths 5.448, 5.448, 5.448 Å; angles 60.00, 60.00, 60.00 degrees
Each line ends with the local moment (μB).
Sites, in units of the cell vectors:
Ac 0.000 0.000 0.000  0.17
Er 0.500 0.500 0.500  0.43
U 0.250 0.250 0.250  2.98

Output
DFT formation energy: 1.278 eV/atom
final energy: -16.13 eV/f.u.

---

Below is an optimized crystal structure of AcYEr, with properties calculated at the PBE-GGA level.

Cell lengths 5.633, 5.633, 5.633 Å; angles 60.00, 60.00, 60.00 degrees
Sites, in units of the cell vectors:
Ac 0.250 0.250 0.250
Er 0.000 0.000 0.000
Y 0.750 0.750 0.750

Output
DFT formation energy: 0.681 eV/atom
final energy: -13.09 eV/f.u.

---

Below is an optimized crystal structure of AcYEr, with properties calculated at the PBE-GGA level.

Cell lengths 5.652, 5.652, 5.652 Å; angles 60.00, 60.00, 60.00 degrees
Sites, in units of the cell vectors:
Ac 0.000 0.000 0.000
Er 0.250 0.250 0.250
Y 0.750 0.750 0.750

Output
DFT formation energy: 0.847 eV/atom
final energy: -12.59 eV/f.u.

---

Below is an optimized crystal structure of AcErZn, with properties calculated at the PBE-GGA level.

Cell lengths 5.169, 5.169, 5.169 Å; angles 60.00, 60.00, 60.00 degrees
Sites, in units of the cell vectors:
Ac 0.250 0.250 0.250
Er 0.750 0.750 0.750
Zn 0.000 0.000 0.000

Output
DFT formation energy: 0.062 eV/atom
final energy: -9.75 eV/f.u.

---

Below is an optimized crystal structure of AcErZn, with properties calculated at the PBE-GGA level.

Cell lengths 5.238, 5.238, 5.238 Å; angles 60.00, 60.00, 60.00 degrees
Sites, in units of the cell vectors:
Ac 0.000 0.000 0.000
Er 0.250 0.250 0.250
Zn 0.750 0.750 0.750

Output
DFT formation energy: 0.680 eV/atom
final energy: -7.89 eV/f.u.

---

Below is an optimized crystal structure of AcPt3F, with properties calculated at the PBE-GGA level.

Cell lengths 5.318, 5.318, 11.017 Å; angles 90.00, 90.00, 120.00 degrees
Each line ends with the local moment (μB).
Sites, in units of the cell vectors:
Ac 0.000 0.000 0.182  0.00
Ac 0.000 0.000 0.818  0.00
F 0.667 0.333 0.500  0.02
F 0.333 0.667 0.500  0.02
Pt 0.500 0.000 0.310  0.06
Pt 0.000 0.500 0.310  0.03
Pt 0.500 0.500 0.310  0.07
Pt 0.500 0.000 0.690  0.06
Pt 0.000 0.500 0.690  0.03
Pt 0.500 0.500 0.690  0.07

Output
final energy: -25.78 eV/f.u.

---

Below is an optimized crystal structure of AcU2F2, with properties calculated at the PBE-GGA level.

Cell lengths 5.321, 5.321, 11.385 Å; angles 90.00, 90.00, 139.03 degrees
Each line ends with the local moment (μB).
Sites, in units of the cell vectors:
Ac 0.056 0.944 0.250  -0.01
Ac 0.944 0.056 0.750  -0.01
F 0.809 0.191 0.141  -0.01
F 0.809 0.191 0.359  -0.01
F 0.191 0.809 0.641  -0.01
F 0.191 0.809 0.859  -0.01
U 0.376 0.624 0.001  2.20
U 0.376 0.624 0.499  2.21
U 0.624 0.376 0.501  2.21
U 0.624 0.376 0.999  2.20

Output
final energy: -36.42 eV/f.u.